# RbGe2NO

Crystalline RbGe2NO at its relaxed geometry (PBE, Alexandria via LeMat-Bulk).

Summary:
VASP energy in eV/atom: -2.360
Crystal system: tetragonal

abc: 5.7451 5.7451 4.2566
angles: 90.00 90.00 90.00
Space group P4/mmm (No. 123)
Unique sites:
Rb  0.0000  0.0000  0.0000 (multiplicity 1)
Ge  0.0000  0.5000  0.0000 (multiplicity 2)
N  0.5000  0.5000  0.5000 (multiplicity 1)
O  0.0000  0.0000  0.5000 (multiplicity 1)



# SnHgSbI6

Crystalline SnHgSbI6 at its relaxed geometry (PBE, Alexandria via LeMat-Bulk).

Summary:
VASP energy in eV/atom: -2.272
Crystal system: monoclinic

abc: 7.7430 13.4180 7.5141
angles: 90.00 90.09 90.00
Space group C2 (No. 5)
Unique sites:
Sn  0.0000  0.0000  0.0000 (multiplicity 2)
Hg  0.0000  0.6666  0.5000 (multiplicity 2)
Sb  0.0000  0.3332  0.0000 (multiplicity 2)
I  0.1552  0.1731  0.7582 (multiplicity 4)
I  0.1622  0.4911  0.7580 (multiplicity 4)
I  0.1815  0.8357  0.7580 (multiplicity 4)



# Hg2SbF5

Crystalline Hg2SbF5 at its relaxed geometry (PBE, Alexandria via LeMat-Bulk).

Summary:
Distance to the lowest polymorph of the same formula in eV per atom: 0.108
VASP energy in eV/atom: -3.426
Crystal system: triclinic

abc: 5.2827 6.0358 6.2230
angles: 83.32 64.95 74.06
Space group P1 (No. 1)
Unique sites:
Hg  0.0000  0.0000  0.0000 (multiplicity 1)
Hg  0.4352  0.0020  0.1288 (multiplicity 1)
Sb  0.7587  0.5171  0.5648 (multiplicity 1)
F  0.0687  0.6248  0.5662 (multiplicity 1)
F  0.5391  0.8464  0.5659 (multiplicity 1)
F  0.5821  0.5120  0.9178 (multiplicity 1)
F  0.9354  0.5148  0.2118 (multiplicity 1)
F  0.9986  0.1921  0.5637 (multiplicity 1)